No. 1
Mg6FeW after structural relaxation, computed with GGA-PBE.

The structure in POSCAR format:
```
Mg6FeW
1.0
2.8825 -5.3731 0.0000
2.8825 5.3731 0.0000
0.0000 0.0000 4.8143
Mg W Fe
6 1 1
Cartesian
2.8825 -2.0088 0.0000
1.4409 -0.8102 2.4071
4.2977 0.9146 0.0000
1.4672 0.9146 0.0000
2.8825 3.4563 0.0000
4.3240 -0.8102 2.4071
2.8825 1.8943 2.4071
2.8825 -3.5508 2.4071
```

Properties
**Space group**: Amm2, No. 38

---

No. 2
MgFe2W after structural relaxation, computed with GGA-PBE.

The structure in POSCAR format:
```
MgFe2W
1.0
-1.7575 3.5095 -2.2389
-3.6773 2.5030 -0.7942
1.0607 3.3453 3.7403
Fe Mg W
2 1 1
Cartesian
0.0123 0.0519 0.0526
-2.1994 4.6270 0.3010
-3.2805 7.0183 0.5304
-1.0935 2.3394 0.1768
```

Properties
**Space group**: C2/m, No. 12

---

No. 3
Mg2FeW2 after structural relaxation, computed with GGA-PBE.

The structure in POSCAR format:
```
Mg2FeW2
1.0
-1.6790 1.4805 2.7558
-0.8524 -3.2258 1.2137
4.6985 -1.0464 5.7119
Fe W Mg
1 2 2
Cartesian
0.0000 0.0000 0.0000
2.4447 -1.8903 7.0792
-0.2777 -0.9014 2.6022
0.8769 -0.2193 5.2263
1.2902 -2.5724 4.4552
```

Properties
**Space group**: I4/mmm, No. 139

---

Calculated ΔE_f in order - 378; 393; 1073 meV per atom
Calculated density in order - 4.3; 9.2; 8.8 Mg/m³